1.
## SmTmS2O (PBE)

Data for crystalline SmTmS2O at its relaxed geometry.

Results
Raw total energy = -6.99 eV per atom
Mass density = 6.34 g cm⁻³

abc: 3.889 3.889 13.830
angles: 90.00 90.00 90.00
Space group P4/nmm (No. 129, origin choice 2)
Unique sites:
Sm  0.250  0.250  0.088 [2 per cell]
Tm  0.250  0.250  0.621 [2 per cell]
S  0.250  0.250  0.411 [2 per cell]
S  0.250  0.250  0.799 [2 per cell]
O  0.250  0.750  0.000 [2 per cell]



2.
## TeAsAu2 (PBE)

Data for crystalline TeAsAu2 at its relaxed geometry.

Results
Distance to the lowest polymorph of the same formula = 0.229 eV per atom
Mass density = 11.38 g cm⁻³

abc: 3.724 4.832 9.677
angles: 90.00 90.00 90.00
Space group Cmm2 (No. 35)
Unique sites:
Te  0.000  0.000  0.000 [2 per cell]
As  0.000  0.500  0.679 [2 per cell]
Au  0.000  0.000  0.478 [2 per cell]
Au  0.000  0.500  0.258 [2 per cell]



3.
## TlSnB2 (PBE)

Data for crystalline TlSnB2 at its relaxed geometry.

Results
Energy relative to the elements = 37.00 kcal/mol of atoms
Distance to the lowest polymorph of the same formula = 0.483 eV per atom
Mass density = 8.15 g cm⁻³

abc: 6.549 6.549 6.549
angles: 90.00 90.00 90.00
Space group Fm-3m (No. 225)
Unique sites:
Tl  0.000  0.000  0.000 [4 per cell]
Sn  0.000  0.000  0.500 [4 per cell]
B  0.250  0.250  0.250 [8 per cell]